A crystal of Er3B5O12 relaxed with PBEsol. Source: the Alexandria database, functional meta-GGA SCAN.

Results
* Fermi-level density of states: 0.0 states/eV/f.u.
* density: 6.8 Mg/m³
* ΔE_f (raw): -3.24 eV per atom

a = 12.777 Å, b = 4.585 Å, c = 12.430 Å
α = 90.00°, β = 90.00°, γ = 90.00°
Space group Pmna (No. 53)
Inequivalent atoms, fractional coordinates:
Er 0.132 0.000 0.000 (multiplicity 4)
Er 0.135 0.001 0.306 (multiplicity 8)
B 0.000 0.456 0.374 (multiplicity 4)
B 0.000 0.463 0.150 (multiplicity 4)
B 0.162 0.500 0.500 (multiplicity 4)
B 0.202 0.468 0.849 (multiplicity 8)
O 0.000 0.240 0.639 (multiplicity 4)
O 0.000 0.242 0.070 (multiplicity 4)
O 0.000 0.304 0.261 (multiplicity 4)
O 0.095 0.339 0.855 (multiplicity 8)
O 0.096 0.335 0.426 (multiplicity 8)
O 0.204 0.220 0.152 (multiplicity 8)
O 0.233 0.309 0.564 (multiplicity 8)
O 0.250 0.342 0.750 (multiplicity 4)